[1]
## SrIrRh2 (PBE)

Data for a relaxed structure of SrIrRh2.

Calculated values
Its symmetry is Pmmm. The total magnetization is 0.076 μB per atom. The energy relative to the lowest polymorph listed for this composition is 0.5381 eV/atom. The value obtained for the formation energy is 403 meV per atom.

Cell lengths 2.9376, 4.8018, 5.0185 Å; angles 90.00, 90.00, 90.00 degrees
Atoms (fractional coordinates):
Sr 0.0000 0.0000 0.0000
Ir 0.5000 0.0000 0.5000
Rh 0.0000 0.5000 0.5000
Rh 0.5000 0.5000 0.0000

---

[2]
## YGa2CuW (PBE)

Data for a relaxed structure of YGa2CuW.

Calculated values
Its symmetry is P4/mmm. The total magnetization is 0.000 μB per atom. The value obtained for the formation energy is 480 meV per atom.

Cell lengths 4.4992, 4.4992, 4.8641 Å; angles 90.00, 90.00, 90.00 degrees
Atoms (fractional coordinates):
Y 0.0000 0.0000 0.0000
Ga 0.0000 0.5000 0.5000
Ga 0.5000 0.0000 0.5000
Cu 0.5000 0.5000 0.5000
W 0.5000 0.5000 0.0000

---

[3]
## Pm3Y7Mg (PBE)

Data for a relaxed structure of Pm3Y7Mg.

Calculated values
Its symmetry is P3m1. The total magnetization is 0.000 μB per atom. The value obtained for the formation energy is 188 meV per atom.

Cell lengths 7.0656, 7.0656, 8.6549 Å; angles 90.00, 90.00, 120.00 degrees
Atoms (fractional coordinates):
Pm 0.1682 0.3364 0.0000
Pm 0.1682 0.8318 0.0000
Pm 0.6636 0.8318 0.0000
Y 0.0051 0.5025 0.3389
Y 0.3323 0.1661 0.6634
Y 0.3333 0.6667 0.6686
Y 0.4975 0.5025 0.3389
Y 0.4975 0.9949 0.3389
Y 0.8339 0.1661 0.6634
Y 0.8339 0.6677 0.6634
Mg 0.0000 0.0000 0.3423

---

[4]
## Li2AcCeF8 (PBE)

Data for a relaxed structure of Li2AcCeF8.

Calculated values
Its symmetry is I-4. As for the uncorrected formation energy: -44.544 eV/f.u. The total magnetization is 0.083 μB per atom.

Cell lengths 7.0553, 7.0553, 7.0553 Å; angles 134.74, 134.74, 65.94 degrees
Atoms (fractional coordinates):
Li 0.0000 0.0000 0.0000
Li 0.7500 0.2500 0.5000
Ac 0.5000 0.5000 0.0000
Ce 0.2500 0.7500 0.5000
F 0.1007 0.4850 0.9350
F 0.1923 0.0620 0.4183
F 0.2260 0.8077 0.8697
F 0.5150 0.4499 0.6156
F 0.5501 0.1657 0.0650
F 0.6437 0.7740 0.5817
F 0.8343 0.8993 0.3844
F 0.9380 0.3563 0.1303

---

[5]
## TaTeSeN2 (PBE)

Data for a relaxed structure of TaTeSeN2.

Calculated values
Its symmetry is P4/mmm. As for the uncorrected formation energy: 1.654 eV/f.u. The total magnetization is 0.151 μB per atom. The energy relative to the lowest polymorph listed for this composition is 0.0019 eV/atom.

Cell lengths 4.0151, 4.0151, 6.0977 Å; angles 90.00, 90.00, 90.00 degrees
Atoms (fractional coordinates):
Ta 0.0000 0.0000 0.0000
Te 0.0000 0.0000 0.5000
Se 0.5000 0.5000 0.5000
N 0.0000 0.5000 0.0000
N 0.5000 0.0000 0.0000

---

[6]
## SiSn2O2F4 (PBE)

Data for a relaxed structure of SiSn2O2F4.

Calculated values
Its symmetry is C2/m. As for the uncorrected formation energy: -19.975 eV/f.u. The total magnetization is 0.000 μB per atom.

Cell lengths 5.7367, 5.7367, 4.8196 Å; angles 105.13, 105.13, 65.61 degrees
Atoms (fractional coordinates):
Si 0.0000 0.0000 0.0000
Sn 0.2657 0.2657 0.7182
Sn 0.7343 0.7343 0.2818
O 0.1651 0.1651 0.2744
O 0.8349 0.8349 0.7256
F 0.1273 0.7312 0.1869
F 0.2688 0.8727 0.8131
F 0.7312 0.1273 0.1869
F 0.8727 0.2688 0.8131

---

[7]
## SrCaPb2 (PBE)

Data for a relaxed structure of SrCaPb2.

Calculated values
Its symmetry is Imm2. The total magnetization is 0.000 μB per atom. The value obtained for the formation energy is -433 meV per atom.

Cell lengths 6.9052, 6.9052, 6.9052 Å; angles 142.49, 136.57, 58.70 degrees
Atoms (fractional coordinates):
Sr 0.0000 0.0000 0.0000
Ca 0.7441 0.2441 0.5000
Pb 0.2573 0.7573 0.5000
Pb 0.4497 0.4497 0.0000

---

[8]
## KHgAu2 (PBE)

Data for a relaxed structure of KHgAu2.

Calculated values
Its symmetry is P4mm. The total magnetization is 0.000 μB per atom. The value obtained for the formation energy is -114 meV per atom.

Cell lengths 3.8229, 3.8229, 7.7446 Å; angles 90.00, 90.00, 90.00 degrees
Atoms (fractional coordinates):
K 0.0000 0.0000 0.0000
Hg 0.5000 0.5000 0.7035
Au 0.0000 0.0000 0.4018
Au 0.5000 0.5000 0.3372

---

Q: Which of these has the highest total magnetization?
A: TaTeSeN2

---

Q: Look up the total magnetization of the eighth one.
A: 0.000 μB per atom